1.
# AlSb2Rh | the Alexandria database | PBE | optimized geometry
# Energy relative to the elements, uncorrected ... -0.254 eV/atom
# SG ... Amm2, No. 38
# V ... 90 Å³ per cell
# Density ... 6.86 Mg/m³
data_AlSb2Rh
_chemical_formula_sum 'Al1 Sb2 Rh1'
_cell_length_a 4.528
_cell_length_b 4.736
_cell_length_c 4.734
_cell_angle_alpha 62.92
_cell_angle_beta 90.00
_cell_angle_gamma 90.00
_space_group_name_H-M_alt 'P 1'
_space_group_IT_number 1
_space_group_name_Hall 'P 1'
loop_
_atom_site_label
_atom_site_fract_x
_atom_site_fract_y
_atom_site_fract_z
Sb1 0.500 0.341 0.341
Sb2 0.000 0.899 0.899
Al1 0.000 0.559 0.560
Rh1 0.500 0.701 0.700

2.
# LiAc2Mg3In4 | the Alexandria database | PBE | optimized geometry
# SG ... P-4m2, No. 115
# Formation enthalpy at 0 K ... -0.3048 eV per atom
# V ... 275 Å³ per cell
# Density ... 5.99 Mg/m³
data_LiAc2Mg3In4
_chemical_formula_sum 'Li1 Ac2 Mg3 In4'
_cell_length_a 4.802
_cell_length_b 4.802
_cell_length_c 11.936
_cell_angle_alpha 90.00
_cell_angle_beta 90.00
_cell_angle_gamma 90.00
_space_group_name_H-M_alt 'P 1'
_space_group_IT_number 1
_space_group_name_Hall 'P 1'
loop_
_atom_site_label
_atom_site_fract_x
_atom_site_fract_y
_atom_site_fract_z
Mg1 0.000 0.000 0.500
Mg2 0.000 0.500 0.140
Mg3 0.500 0.000 0.860
Ac1 0.000 0.500 0.747
Ac2 0.500 0.000 0.253
In1 0.500 0.500 0.000
In2 0.500 0.000 0.628
In3 0.000 0.500 0.372
In4 0.000 0.000 0.000
Li1 0.500 0.500 0.500

3.
# LuThTcIr | the Alexandria database | PBE | optimized geometry
# SG ... F-43m, No. 216
# Formation enthalpy at 0 K ... -0.4932 eV per atom
# V ... 83 Å³ per cell
# Density ... 13.87 Mg/m³
data_LuThTcIr
_chemical_formula_sum 'Lu1 Th1 Tc1 Ir1'
_cell_length_a 4.905
_cell_length_b 4.905
_cell_length_c 4.905
_cell_angle_alpha 60.00
_cell_angle_beta 60.00
_cell_angle_gamma 60.00
_space_group_name_H-M_alt 'P 1'
_space_group_IT_number 1
_space_group_name_Hall 'P 1'
loop_
_atom_site_label
_atom_site_fract_x
_atom_site_fract_y
_atom_site_fract_z
Ir1 0.000 0.000 0.000
Tc1 0.500 0.500 0.500
Lu1 0.250 0.250 0.250
Th1 0.750 0.750 0.750

4.
# Ba2In9Ag6 | the Alexandria database | PBE | optimized geometry
# SG ... P6/mmm, No. 191
# Formation enthalpy at 0 K ... -0.1127 eV per atom
# V ... 470 Å³ per cell
# Density ... 6.91 Mg/m³
data_Ba2In9Ag6
_chemical_formula_sum 'Ba2 In9 Ag6'
_cell_length_a 6.223
_cell_length_b 6.223
_cell_length_c 14.013
_cell_angle_alpha 90.00
_cell_angle_beta 90.00
_cell_angle_gamma 120.00
_space_group_name_H-M_alt 'P 1'
_space_group_IT_number 1
_space_group_name_Hall 'P 1'
loop_
_atom_site_label
_atom_site_fract_x
_atom_site_fract_y
_atom_site_fract_z
In1 0.500 0.500 0.163
In2 0.000 0.500 0.500
In3 0.500 0.000 0.500
In4 0.500 0.500 0.837
In5 0.000 0.500 0.837
In6 0.500 0.000 0.837
In7 0.000 0.500 0.163
In8 0.500 0.500 0.500
In9 0.500 0.000 0.163
Ag1 0.333 0.667 0.000
Ag2 0.667 0.333 0.669
Ag3 0.667 0.333 0.000
Ag4 0.333 0.667 0.331
Ag5 0.333 0.667 0.669
Ag6 0.667 0.333 0.331
Ba1 0.000 0.000 0.332
Ba2 0.000 0.000 0.668

5.
# Nd3Sm2Ge2 | the Alexandria database | PBE | optimized geometry
# SG ... C2/m, No. 12
# Formation enthalpy at 0 K ... -0.5086 eV per atom
# V ... 207 Å³ per cell
# Density ... 7.04 Mg/m³
data_Nd3Sm2Ge2
_chemical_formula_sum 'Nd3 Sm2 Ge2'
_cell_length_a 4.282
_cell_length_b 6.411
_cell_length_c 8.835
_cell_angle_alpha 104.12
_cell_angle_beta 104.02
_cell_angle_gamma 109.51
_space_group_name_H-M_alt 'P 1'
_space_group_IT_number 1
_space_group_name_Hall 'P 1'
loop_
_atom_site_label
_atom_site_fract_x
_atom_site_fract_y
_atom_site_fract_z
Nd1 0.500 0.000 0.000
Nd2 0.811 0.181 0.441
Nd3 0.189 0.819 0.559
Sm1 0.345 0.495 0.194
Sm2 0.655 0.505 0.806
Ge1 0.976 0.150 0.801
Ge2 0.024 0.850 0.199

6.
# PrDyTlRh | the Alexandria database | PBE | optimized geometry
# SG ... P4mm, No. 99
# Formation enthalpy at 0 K ... -0.5504 eV per atom
# V ... 101 Å³ per cell
# Density ... 10.06 Mg/m³
data_PrDyTlRh
_chemical_formula_sum 'Pr1 Dy1 Tl1 Rh1'
_cell_length_a 3.547
_cell_length_b 3.547
_cell_length_c 8.009
_cell_angle_alpha 90.00
_cell_angle_beta 90.00
_cell_angle_gamma 90.00
_space_group_name_H-M_alt 'P 1'
_space_group_IT_number 1
_space_group_name_Hall 'P 1'
loop_
_atom_site_label
_atom_site_fract_x
_atom_site_fract_y
_atom_site_fract_z
Rh1 0.000 0.000 0.551
Dy1 0.500 0.500 0.362
Pr1 0.500 0.500 0.785
Tl1 0.000 0.000 0.086

7.
# PrGdTeBr | the Alexandria database | PBE | optimized geometry
# Energy relative to the elements, uncorrected ... -1.192 eV/atom
# SG ... F-43m, No. 216
# V ... 108 Å³ per cell
# Density ... 7.74 Mg/m³
data_PrGdTeBr
_chemical_formula_sum 'Pr1 Gd1 Te1 Br1'
_cell_length_a 5.353
_cell_length_b 5.353
_cell_length_c 5.353
_cell_angle_alpha 60.00
_cell_angle_beta 60.00
_cell_angle_gamma 60.00
_space_group_name_H-M_alt 'P 1'
_space_group_IT_number 1
_space_group_name_Hall 'P 1'
loop_
_atom_site_label
_atom_site_fract_x
_atom_site_fract_y
_atom_site_fract_z
Gd1 0.500 0.500 0.500
Pr1 0.000 0.000 0.000
Br1 0.250 0.250 0.250
Te1 0.750 0.750 0.750

8.
# Tm6In3Sn | the Alexandria database | PBE | optimized geometry
# SG ... Cmc2_1, No. 36
# Formation enthalpy at 0 K ... -0.2927 eV per atom
# V ... 559 Å³ per cell
# Density ... 8.77 Mg/m³
data_Tm6In3Sn
_chemical_formula_sum 'Tm12 In6 Sn2'
_cell_length_a 6.656
_cell_length_b 9.933
_cell_length_c 9.933
_cell_angle_alpha 121.58
_cell_angle_beta 90.00
_cell_angle_gamma 90.00
_space_group_name_H-M_alt 'P 1'
_space_group_IT_number 1
_space_group_name_Hall 'P 1'
loop_
_atom_site_label
_atom_site_fract_x
_atom_site_fract_y
_atom_site_fract_z
In1 0.504 0.911 0.690
In2 0.659 0.583 0.417
In3 0.004 0.089 0.310
In4 0.004 0.690 0.911
In5 0.159 0.417 0.583
In6 0.504 0.310 0.089
Tm1 0.279 0.989 0.011
Tm2 0.296 0.449 0.908
Tm3 0.796 0.908 0.449
Tm4 0.781 0.293 0.707
Tm5 0.796 0.551 0.092
Tm6 0.281 0.707 0.293
Tm7 0.054 0.756 0.637
Tm8 0.554 0.637 0.756
Tm9 0.054 0.363 0.244
Tm10 0.554 0.244 0.363
Tm11 0.296 0.092 0.551
Tm12 0.779 0.011 0.989
Sn1 0.559 0.850 0.150
Sn2 0.059 0.150 0.850

9.
# Pr4NdDy2Er2 | the Alexandria database | PBE | optimized geometry
# SG ... C2/m, No. 12
# Formation enthalpy at 0 K ... 0.0201 eV per atom
# V ... 303 Å³ per cell
# Density ... 7.49 Mg/m³
data_Pr4NdDy2Er2
_chemical_formula_sum 'Pr4 Nd1 Dy2 Er2'
_cell_length_a 5.119
_cell_length_b 8.115
_cell_length_c 8.098
_cell_angle_alpha 107.29
_cell_angle_beta 90.00
_cell_angle_gamma 108.39
_space_group_name_H-M_alt 'P 1'
_space_group_IT_number 1
_space_group_name_Hall 'P 1'
loop_
_atom_site_label
_atom_site_fract_x
_atom_site_fract_y
_atom_site_fract_z
Dy1 0.112 0.223 0.669
Dy2 0.888 0.777 0.331
Pr1 0.446 0.892 0.669
Pr2 0.777 0.553 0.669
Pr3 0.223 0.447 0.331
Pr4 0.554 0.108 0.331
Er1 0.331 0.663 0.001
Er2 0.669 0.337 0.999
Nd1 0.000 0.000 0.000

10.
# LaTe2Mo | the Alexandria database | PBE | optimized geometry
# Energy relative to the elements, uncorrected ... -0.326 eV/atom
# SG ... P4/mmm, No. 123
# V ... 100 Å³ per cell
# Density ... 8.14 Mg/m³
data_LaTe2Mo
_chemical_formula_sum 'La1 Te2 Mo1'
_cell_length_a 8.216
_cell_length_b 5.176
_cell_length_c 3.730
_cell_angle_alpha 89.99
_cell_angle_beta 63.01
_cell_angle_gamma 129.03
_space_group_name_H-M_alt 'P 1'
_space_group_IT_number 1
_space_group_name_Hall 'P 1'
loop_
_atom_site_label
_atom_site_fract_x
_atom_site_fract_y
_atom_site_fract_z
Te1 0.000 0.000 0.000
Te2 0.500 0.000 0.500
Mo1 0.500 0.500 0.000
La1 0.000 0.500 0.500

11.
# La3InRu | the Alexandria database | PBE | optimized geometry
# SG ... P-1, No. 2
# Formation enthalpy at 0 K ... -0.3741 eV per atom
# V ... 301 Å³ per cell
# Density ... 6.97 Mg/m³
data_La3InRu
_chemical_formula_sum 'La6 In2 Ru2'
_cell_length_a 8.448
_cell_length_b 7.104
_cell_length_c 6.169
_cell_angle_alpha 93.51
_cell_angle_beta 120.32
_cell_angle_gamma 71.76
_space_group_name_H-M_alt 'P 1'
_space_group_IT_number 1
_space_group_name_Hall 'P 1'
loop_
_atom_site_label
_atom_site_fract_x
_atom_site_fract_y
_atom_site_fract_z
Ru1 0.242 0.233 0.117
Ru2 0.246 0.864 0.335
La1 0.581 0.875 0.353
La2 0.389 0.176 0.716
La3 0.907 0.223 0.099
La4 0.099 0.921 0.736
La5 0.995 0.672 0.155
La6 0.493 0.425 0.297
In1 0.523 0.642 0.815
In2 0.965 0.455 0.637

12.
# LaFeAs | the Alexandria database | PBE | optimized geometry
# SG ... P-6m2, No. 187
# Formation enthalpy at 0 K ... -0.7012 eV per atom
# V ... 64 Å³ per cell
# Density ... 6.97 Mg/m³
data_LaFeAs
_chemical_formula_sum 'La1 Fe1 As1'
_cell_length_a 4.207
_cell_length_b 4.207
_cell_length_c 4.190
_cell_angle_alpha 90.00
_cell_angle_beta 90.00
_cell_angle_gamma 120.00
_space_group_name_H-M_alt 'P 1'
_space_group_IT_number 1
_space_group_name_Hall 'P 1'
loop_
_atom_site_label
_atom_site_fract_x
_atom_site_fract_y
_atom_site_fract_z
As1 0.000 0.000 0.167
Fe1 0.667 0.333 0.167
La1 0.333 0.667 0.667